Density functional theory data (PBE+U) for a geometry-optimized SrMn2BiF structure.

a = 6.5984 Å, b = 6.5984 Å, c = 6.2814 Å
α = 90.00°, β = 90.00°, γ = 90.00°
Closest atoms and distances in Å follow each position.
Positions (direct):
Sr 0.0000 0.0000 0.0000  2 Bi 3.14, 4 Mn 3.30
Mn 0.0000 0.5000 0.0000  2 Sr 3.30
Mn 0.5000 0.0000 0.0000  2 Sr 3.30
Bi 0.0000 0.0000 0.5000  2 Sr 3.14
F 0.5000 0.5000 0.5000  8 Mn 4.56, 4 Bi 4.67

Properties
SG: No. 123
magnetization: 8.52 μB/f.u.
final energy: -17.85 eV for the cell shown